Record 1
# GeAsSe2

Crystalline GeAsSe2 at its relaxed geometry (PBE-GGA, Alexandria).

Lattice parameters (Å, degrees): 5.6580 8.3571 9.4977 90.00 90.00 90.00
Element x y z (fractional)
Se (0.0611, 0.9442, 0.1232)
Se (0.6243, 0.1725, 0.2934)
As (0.5786, 0.0049, 0.4962)
Ge (0.4859, 0.9587, 0.1153)
Se (0.6243, 0.6725, 0.2066)
Se (0.5611, 0.5558, 0.6232)
Se (0.1243, 0.8275, 0.7066)
As (0.5786, 0.5049, 0.0038)
Se (0.5611, 0.0558, 0.8768)
Ge (0.9859, 0.5413, 0.6153)
Ge (0.4859, 0.4587, 0.3847)
Se (0.1243, 0.3275, 0.7934)
Se (0.0611, 0.4442, 0.3768)
As (0.0786, 0.9951, 0.5038)
Ge (0.9859, 0.0413, 0.8847)
As (0.0786, 0.4951, 0.9962)

The uncorrected energy is -3.995 eV/atom. The space group is Pna2_1 (33). The density of states at the Fermi level is 0.518 states/eV/atom. The value obtained for the uncorrected formation energy is 6 kJ per mole of atoms. The offset from the most stable computed form comes out at 0.000 eV/atom.

Record 2
# SnPbF3

Crystalline SnPbF3 at its relaxed geometry (PBE-GGA, Alexandria).

Lattice parameters (Å, degrees): 4.8201 4.8201 4.8201 90.00 90.00 90.00
Element x y z (fractional)
F (0.5000, 0.0000, 0.0000)
Sn (0.5000, 0.5000, 0.5000)
F (0.0000, 0.0000, 0.5000)
F (0.0000, 0.5000, 0.0000)
Pb (0.0000, 0.0000, 0.0000)

The uncorrected energy is -4.231 eV/atom. The space group is Pm-3m (221). The density of states at the Fermi level is 0.852 states/eV/atom. The value obtained for the uncorrected formation energy is -151 kJ per mole of atoms.

Record 3
# Os2RhBr

Crystalline Os2RhBr at its relaxed geometry (PBE-GGA, Alexandria).

Lattice parameters (Å, degrees): 9.0393 9.0393 9.0393 18.14 18.14 18.14
Element x y z (fractional)
Os (0.9950, 0.9950, 0.9950)
Br (0.7505, 0.7505, 0.7505)
Os (0.2511, 0.2511, 0.2511)
Rh (0.5035, 0.5035, 0.5035)

The uncorrected energy is -7.228 eV/atom. The space group is R3m (160). The density of states at the Fermi level is 0.850 states/eV/atom. The value obtained for the uncorrected formation energy is 62 kJ per mole of atoms. The offset from the most stable computed form comes out at 0.034 eV/atom.

Record 4
# Rb2YPb

Crystalline Rb2YPb at its relaxed geometry (PBE-GGA, Alexandria).

Lattice parameters (Å, degrees): 13.5176 13.5176 10.0153 47.56 47.56 90.00
Element x y z (fractional)
Rb (0.9804, 0.6250, 0.2500)
Pb (0.0000, 0.0000, 0.0000)
Y (0.2500, 0.7500, 0.5000)
Rb (0.8750, 0.0196, 0.7500)
Rb (0.3750, 0.2304, 0.7500)
Pb (0.7500, 0.2500, 0.5000)
Y (0.5000, 0.5000, 0.0000)
Rb (0.7696, 0.1250, 0.2500)

The uncorrected energy is -2.720 eV/atom. The formation energy comes out at 1.2 eV per formula unit. The space group is I-42d (122). The density of states at the Fermi level is 0.533 states/eV/atom.

Record 5
# Ac2TaGe4Rh3

Crystalline Ac2TaGe4Rh3 at its relaxed geometry (PBE-GGA, Alexandria).

Lattice parameters (Å, degrees): 4.3210 4.3210 10.9193 90.00 90.00 90.00
Element x y z (fractional)
Rh (0.0000, 0.5000, 0.1197)
Ge (0.5000, 0.5000, 0.0000)
Ge (0.5000, 0.0000, 0.6403)
Ac (0.0000, 0.5000, 0.7604)
Ac (0.5000, 0.0000, 0.2396)
Rh (0.0000, 0.0000, 0.5000)
Ta (0.5000, 0.5000, 0.5000)
Ge (0.0000, 0.0000, 0.0000)
Rh (0.5000, 0.0000, 0.8803)
Ge (0.0000, 0.5000, 0.3597)

The uncorrected energy is -6.750 eV/atom. The formation energy comes out at -6.9 eV per formula unit. The space group is P-4m2 (115). The density of states at the Fermi level is 0.654 states/eV/atom.

Record 6
# ReNiSbI2

Crystalline ReNiSbI2 at its relaxed geometry (PBE-GGA, Alexandria).

Lattice parameters (Å, degrees): 4.9887 4.9887 4.9028 90.00 90.00 90.00
Element x y z (fractional)
Sb (0.0000, 0.0000, 0.5000)
I (0.5000, 0.0000, 0.0000)
Ni (0.0000, 0.0000, 0.0000)
Re (0.5000, 0.5000, 0.5000)
I (0.0000, 0.5000, 0.0000)

The uncorrected energy is -3.569 eV/atom. The space group is P4/mmm (123). The density of states at the Fermi level is 1.367 states/eV/atom. The value obtained for the uncorrected formation energy is 147 kJ per mole of atoms.

Record 7
# K2Rb2Na2Au

Crystalline K2Rb2Na2Au at its relaxed geometry (PBE-GGA, Alexandria).

Lattice parameters (Å, degrees): 6.0999 8.4297 7.7537 92.82 66.91 89.87
Element x y z (fractional)
K (0.5437, 0.2073, 0.9136)
Rb (0.1451, 0.6360, 0.7092)
Na (0.7971, 0.9002, 0.4045)
Na (0.2029, 0.0998, 0.5955)
K (0.4563, 0.7927, 0.0864)
Au (0.0000, 0.0000, 0.0000)
Rb (0.8549, 0.3640, 0.2908)

The uncorrected energy is -1.517 eV/atom. The formation energy comes out at -0.6 eV per formula unit. The space group is P-1 (2). The density of states at the Fermi level is 0.489 states/eV/atom.

Record 8
# Er2OsRh

Crystalline Er2OsRh at its relaxed geometry (PBE-GGA, Alexandria).

Lattice parameters (Å, degrees): 3.2153 3.2153 9.5543 80.31 80.31 60.00
Element x y z (fractional)
Os (0.5000, 0.5000, 0.5000)
Er (0.0912, 0.0912, 0.7264)
Er (0.9088, 0.9088, 0.2736)
Rh (0.0000, 0.0000, 0.0000)

The uncorrected energy is -6.713 eV/atom. The formation energy comes out at 0.9 eV per formula unit. The space group is R-3m (166). The density of states at the Fermi level is 0.646 states/eV/atom.

Record 9
# YMg2InH

Crystalline YMg2InH at its relaxed geometry (PBE-GGA, Alexandria).

Lattice parameters (Å, degrees): 4.5892 4.5892 4.5573 90.00 90.00 90.00
Element x y z (fractional)
H (0.0000, 0.0000, 0.0000)
In (0.5000, 0.5000, 0.5000)
Y (0.0000, 0.0000, 0.5000)
Mg (0.0000, 0.5000, 0.0000)
Mg (0.5000, 0.0000, 0.0000)

The uncorrected energy is -3.462 eV/atom. The space group is P4/mmm (123). The density of states at the Fermi level is 0.255 states/eV/atom.

Record 10
# ThNi4Pd8

Crystalline ThNi4Pd8 at its relaxed geometry (PBE-GGA, Alexandria).

Lattice parameters (Å, degrees): 5.0462 6.7615 6.7615 82.00 68.09 68.09
Element x y z (fractional)
Ni (0.0000, 0.0000, 0.5000)
Pd (0.7188, 0.7812, 0.7812)
Pd (0.5000, 0.7812, 0.2188)
Th (0.0000, 0.0000, 0.0000)
Pd (0.3439, 0.6561, 0.6561)
Ni (0.0000, 0.5000, 0.0000)
Ni (0.5000, 0.0000, 0.5000)
Ni (0.5000, 0.5000, 0.0000)
Pd (0.0000, 0.6561, 0.3439)
Pd (0.6561, 0.3439, 0.3439)
Pd (0.2812, 0.2188, 0.2188)
Pd (0.5000, 0.2188, 0.7812)
Pd (0.0000, 0.3439, 0.6561)

The uncorrected energy is -5.843 eV/atom. The formation energy comes out at -3.9 eV per formula unit. The space group is I4/mmm (139). The density of states at the Fermi level is 1.126 states/eV/atom.

Record 11
# Ho2TlZn

Crystalline Ho2TlZn at its relaxed geometry (PBE-GGA, Alexandria).

Lattice parameters (Å, degrees): 3.6513 3.6513 7.3852 90.00 90.00 90.00
Element x y z (fractional)
Ho (0.0000, 0.0000, 0.7712)
Tl (0.5000, 0.5000, 0.5000)
Zn (0.5000, 0.5000, 0.0000)
Ho (0.0000, 0.0000, 0.2288)

The uncorrected energy is -3.544 eV/atom. The formation energy comes out at -1.4 eV per formula unit. The space group is P4/mmm (123). The density of states at the Fermi level is 0.773 states/eV/atom.

Record 12
# BeSb2Ru

Crystalline BeSb2Ru at its relaxed geometry (PBE-GGA, Alexandria).

Lattice parameters (Å, degrees): 4.6540 4.6540 4.6540 60.00 60.00 60.00
Element x y z (fractional)
Ru (0.5000, 0.5000, 0.5000)
Sb (0.2500, 0.2500, 0.2500)
Be (0.0000, 0.0000, 0.0000)
Sb (0.7500, 0.7500, 0.7500)

The uncorrected energy is -4.899 eV/atom. The space group is Fm-3m (225). The density of states at the Fermi level is 0.611 states/eV/atom. The value obtained for the uncorrected formation energy is 40 kJ per mole of atoms. The offset from the most stable computed form comes out at 0.481 eV/atom.